VASP calculation (PBE-GGA) on an optimized crystal structure of RbGaSe3.

a b c (Å): 7.0228 7.6164 7.6439
angles (deg): 112.70 104.70 104.88
Space group P1 (No. 1)
One atom of each set of equivalent atoms:
Rb (0.0000, 0.0000, 0.0000)
Rb (0.4989, 0.6674, 0.3354)
Ga (0.0960, 0.3895, 0.6685)
Ga (0.5950, 0.3326, 0.7227)
Se (0.0429, 0.0214, 0.4977)
Se (0.3570, 0.0396, 0.7317)
Se (0.4723, 0.6125, 0.8105)
Se (0.5447, 0.1693, 0.3562)
Se (0.8626, 0.4069, 0.3814)
Se (0.9701, 0.4707, 0.9455)

Properties
- Formation energy (no corrections): -0.768 eV per atom
- Mass density: 3.89 Mg/m³
- Total magnetization: 0.00 μB/cell
- N(E_F): 0.00 states/eV/atom